Here is a relaxed structure of Na3Ac3UTe8 from Alexandria. Energies are from PBE.

Its raw formation energy is -1.220 eV per atom. The calculation puts the total DFT energy (no corrections) at -71.0 eV/f.u.

The space group is R-3m (No. 166, hexagonal axes) and the conventional cell measures 9.4665, 9.4665 and 22.6216 Å, with angles of 90.00, 90.00 and 120.00 degrees. The distinct sites, in fractional coordinates, are Na at (0.0000, 0.5000, 0.0000), Ac at (0.0000, 0.5000, 0.5000), U at (0.0000, 0.0000, 0.5000), Te at (0.0000, 0.0000, 0.2505) and Te at (0.0217, 0.5108, 0.2447).

Here is a relaxed structure of Ru3Au from Alexandria. Energies are from PBE.

The calculation puts the formation energy at 0.638 eV per atom. The calculation puts the total DFT energy (no corrections) at -28.6 eV/f.u. The calculation puts the distance to the lowest polymorph of the same formula at 467 meV per atom.

The space group is Fm-3m (No. 225) and the conventional cell measures 6.2576, 6.2576 and 6.2576 Å, with angles of 90.00, 90.00 and 90.00 degrees. The distinct sites, in fractional coordinates, are Ru at (0.0000, 0.0000, 0.0000), Ru at (0.2500, 0.2500, 0.2500) and Au at (0.0000, 0.0000, 0.5000).

Here is a relaxed structure of Pm4Sb2S from Alexandria. Energies are from PBE.

Its raw formation energy is -1.009 eV per atom. The calculation puts the total DFT energy (no corrections) at -38.4 eV/f.u.

The space group is I4/mmm (No. 139) and the conventional cell measures 5.1812, 5.1812 and 16.3497 Å, with angles of 90.00, 90.00 and 90.00 degrees. The distinct sites, in fractional coordinates, are Pm at (0.0000, 0.0000, 0.1701), Pm at (0.0000, 0.5000, 0.0000), Sb at (0.0000, 0.0000, 0.3640) and S at (0.0000, 0.0000, 0.0000).

Here is a relaxed structure of Ca2In2Ir from Alexandria. Energies are from PBE.

The calculation puts the formation energy at -0.226 eV per atom. The calculation puts the total DFT energy (no corrections) at -19.5 eV/f.u.

The space group is P4/mbm (No. 127) and the conventional cell measures 7.1506, 7.1506 and 4.9957 Å, with angles of 90.00, 90.00 and 90.00 degrees. The distinct sites, in fractional coordinates, are Ca at (0.1779, 0.3221, 0.0000), In at (0.1431, 0.6431, 0.5000) and Ir at (0.0000, 0.0000, 0.5000).

Here is a relaxed structure of ScNi2Br from Alexandria. Energies are from PBE.

Its raw formation energy is 0.062 eV per atom. The calculation puts the total DFT energy (no corrections) at -19.3 eV/f.u. The calculation puts the distance to the lowest polymorph of the same formula at 446 meV per atom.

The space group is I-4m2 (No. 119) and the conventional cell measures 3.8740, 3.8740 and 8.4025 Å, with angles of 90.00, 90.00 and 90.00 degrees. The distinct sites, in fractional coordinates, are Sc at (0.0000, 0.0000, 0.0000), Ni at (0.0000, 0.0000, 0.5000), Ni at (0.0000, 0.5000, 0.2500) and Br at (0.0000, 0.5000, 0.7500).

Here is a relaxed structure of Nb2RuCl from Alexandria. Energies are from PBE.

Its raw formation energy is 0.401 eV per atom. The calculation puts the total DFT energy (no corrections) at -29.7 eV/f.u. The calculation puts the distance to the lowest polymorph of the same formula at 66 meV per atom.

The space group is I-42d (No. 122) and the conventional cell measures 6.7181, 6.7181 and 6.3405 Å, with angles of 90.00, 90.00 and 90.00 degrees. The distinct sites, in fractional coordinates, are Nb at (0.2360, 0.2500, 0.1250), Ru at (0.0000, 0.0000, 0.5000) and Cl at (0.0000, 0.0000, 0.0000).

Here is a relaxed structure of HgSbTe2 from Alexandria. Energies are from PBE.

Its raw formation energy is 0.062 eV per atom. The calculation puts the total DFT energy (no corrections) at -10.5 eV/f.u. The calculation puts the distance to the lowest polymorph of the same formula at 141 meV per atom.

The space group is Imm2 (No. 44) and the conventional cell measures 4.0892, 4.2002 and 14.5494 Å, with angles of 90.00, 90.00 and 90.00 degrees. The distinct sites, in fractional coordinates, are Hg at (0.0000, 0.0000, 0.0000), Sb at (0.0000, 0.5000, 0.7564), Te at (0.0000, 0.0000, 0.4135) and Te at (0.0000, 0.5000, 0.1712).

Here is a relaxed structure of MnTl2ZnBr from Alexandria. Energies are from PBE.

Its raw formation energy is 0.242 eV per atom. The calculation puts the total DFT energy (no corrections) at -15.6 eV/f.u.

The space group is P4/mmm (No. 123) and the conventional cell measures 5.4818, 5.4818 and 5.0900 Å, with angles of 90.00, 90.00 and 90.00 degrees. The distinct sites, in fractional coordinates, are Mn at (0.0000, 0.0000, 0.0000), Tl at (0.0000, 0.5000, 0.0000), Zn at (0.5000, 0.5000, 0.5000) and Br at (0.0000, 0.0000, 0.5000).

Here is a relaxed structure of TmBi2Se4 from Alexandria. Energies are from PBE.

Its raw formation energy is -0.763 eV per atom. The calculation puts the total DFT energy (no corrections) at -31.5 eV/f.u.

The space group is Cmcm (No. 63) and the conventional cell measures 3.8611, 14.9844 and 13.7301 Å, with angles of 90.00, 90.00 and 90.00 degrees. The distinct sites, in fractional coordinates, are Tm at (0.0000, 0.1133, 0.2500), Bi at (0.0000, 0.3674, 0.0719), Se at (0.0000, 0.0000, 0.0000), Se at (0.0000, 0.2971, 0.6246) and Se at (0.0000, 0.4767, 0.2500).

Here is a relaxed structure of NaLiHgBi from Alexandria. Energies are from PBE.

The calculation puts the formation energy at -0.276 eV per atom. The calculation puts the total DFT energy (no corrections) at -8.5 eV/f.u. The calculation puts the distance to the lowest polymorph of the same formula at 43 meV per atom.

The space group is F-43m (No. 216) and the conventional cell measures 7.2776, 7.2776 and 7.2776 Å, with angles of 90.00, 90.00 and 90.00 degrees. The distinct sites, in fractional coordinates, are Na at (0.0000, 0.0000, 0.0000), Li at (0.0000, 0.0000, 0.5000), Hg at (0.2500, 0.2500, 0.2500) and Bi at (0.2500, 0.2500, 0.7500).

Here is a relaxed structure of KCeAuCl6 from Alexandria. Energies are from PBE.

Its raw formation energy is -1.512 eV per atom. The calculation puts the total DFT energy (no corrections) at -35.0 eV/f.u.

The space group is P-31c (No. 163) and the conventional cell measures 6.8474, 6.8474 and 14.4713 Å, with angles of 90.00, 90.00 and 120.00 degrees. The distinct sites, in fractional coordinates, are K at (0.0000, 0.0000, 0.0000), Ce at (0.3333, 0.6667, 0.2500), Au at (0.3333, 0.6667, 0.7500) and Cl at (0.0107, 0.3618, 0.1414).

Here is a relaxed structure of CsCu2Au2 from Alexandria. Energies are from PBE.

The calculation puts the formation energy at 0.270 eV per atom. The calculation puts the total DFT energy (no corrections) at -14.2 eV/f.u. The calculation puts the distance to the lowest polymorph of the same formula at 136 meV per atom.

The space group is P4/mbm (No. 127) and the conventional cell measures 8.2842, 8.2842 and 3.0563 Å, with angles of 90.00, 90.00 and 90.00 degrees. The distinct sites, in fractional coordinates, are Cs at (0.0000, 0.0000, 0.0000), Cu at (0.1535, 0.3465, 0.5000) and Au at (0.1307, 0.6307, 0.0000).

Here is a relaxed structure of RbSrAgO2 from Alexandria. Energies are from PBE.

Its raw formation energy is -1.340 eV per atom. The calculation puts the total DFT energy (no corrections) at -22.1 eV/f.u.

The space group is Cmme (No. 67) and the conventional cell measures 7.2504, 13.3972 and 5.2950 Å, with angles of 90.00, 90.00 and 90.00 degrees. The distinct sites, in fractional coordinates, are Rb at (0.0000, 0.2500, 0.2071), Sr at (0.2500, 0.0000, 0.0000), Ag at (0.0000, 0.0000, 0.5000) and O at (0.0000, 0.0964, 0.8052).

Here is a relaxed structure of Sb2MoBr from Alexandria. Energies are from PBE.

Its raw formation energy is 0.727 eV per atom. The calculation puts the total DFT energy (no corrections) at -17.8 eV/f.u. The calculation puts the distance to the lowest polymorph of the same formula at 651 meV per atom.

The space group is Pmmm (No. 47) and the conventional cell measures 3.5046, 5.0631 and 5.2353 Å, with angles of 90.00, 90.00 and 90.00 degrees. The distinct sites, in fractional coordinates, are Sb at (0.0000, 0.0000, 0.0000), Sb at (0.5000, 0.5000, 0.0000), Mo at (0.0000, 0.5000, 0.5000) and Br at (0.5000, 0.0000, 0.5000).

Here is a relaxed structure of LaZrW2 from Alexandria. Energies are from PBE.

The calculation puts the formation energy at 1.150 eV per atom. The calculation puts the total DFT energy (no corrections) at -34.8 eV/f.u. The calculation puts the distance to the lowest polymorph of the same formula at 900 meV per atom.

The space group is I-42d (No. 122) and the conventional cell measures 7.9075, 7.9075 and 5.6913 Å, with angles of 90.00, 90.00 and 90.00 degrees. The distinct sites, in fractional coordinates, are La at (0.0000, 0.0000, 0.0000), Zr at (0.0000, 0.0000, 0.5000) and W at (0.2308, 0.2500, 0.6250).

Here is a relaxed structure of ZrBeW2 from Alexandria. Energies are from PBE.

The calculation puts the formation energy at 0.202 eV per atom. The calculation puts the total DFT energy (no corrections) at -37.4 eV/f.u.

The space group is P4/mmm (No. 123) and the conventional cell measures 3.2333, 3.2333 and 6.1570 Å, with angles of 90.00, 90.00 and 90.00 degrees. The distinct sites, in fractional coordinates, are Zr at (0.0000, 0.0000, 0.0000), Be at (0.0000, 0.0000, 0.5000) and W at (0.5000, 0.5000, 0.3057).

Here is a relaxed structure of PrMgIn2Au4 from Alexandria. Energies are from PBE.

The calculation puts the formation energy at -0.536 eV per atom. The calculation puts the total DFT energy (no corrections) at -29.3 eV/f.u.

The space group is R-3m (No. 166, hexagonal axes) and the conventional cell measures 4.7348, 4.7348 and 26.6452 Å, with angles of 90.00, 90.00 and 120.00 degrees. The distinct sites, in fractional coordinates, are Pr at (0.0000, 0.0000, 0.0000), Mg at (0.0000, 0.0000, 0.5000), In at (0.0000, 0.0000, 0.2449), Au at (0.0000, 0.0000, 0.1345) and Au at (0.0000, 0.0000, 0.3924).

Here is a relaxed structure of Ni6MoPt3 from Alexandria. Energies are from PBE.

The calculation puts the formation energy at 0.079 eV per atom. The calculation puts the total DFT energy (no corrections) at -62.8 eV/f.u. The calculation puts the distance to the lowest polymorph of the same formula at 98 meV per atom.

The space group is R-3 (No. 148, hexagonal axes) and the conventional cell measures 8.7270, 8.7270 and 12.3287 Å, with angles of 90.00, 90.00 and 120.00 degrees. The distinct sites, in fractional coordinates, are Ni at (0.0239, 0.5480, 0.1010), Ni at (0.0573, 0.1849, 0.8347), Mo at (0.0000, 0.0000, 0.0000), Mo at (0.0000, 0.0000, 0.5000) and Pt at (0.0222, 0.5462, 0.3091).

Here is a relaxed structure of LaPm3Y2S6 from Alexandria. Energies are from PBE.

Its raw formation energy is -2.044 eV per atom. The calculation puts the total DFT energy (no corrections) at -81.4 eV/f.u.

The space group is C2/m (No. 12) and the conventional cell measures 6.9498, 12.0704 and 6.9532 Å, with angles of 90.00, 109.57 and 90.00 degrees. The distinct sites, in fractional coordinates, are La at (0.0000, 0.0000, 0.0000), Pm at (0.0000, 0.1628, 0.5000), Pm at (0.0000, 0.5000, 0.5000), Y at (0.0000, 0.3330, 0.0000), S at (0.2366, 0.5000, 0.2421) and S at (0.2459, 0.3281, 0.7535).

Here is a relaxed structure of Zn3CuPt2 from Alexandria. Energies are from PBE.

The calculation puts the formation energy at -0.403 eV per atom. The calculation puts the total DFT energy (no corrections) at -22.4 eV/f.u.

The space group is P-3m1 (No. 164) and the conventional cell measures 4.3086, 4.3086 and 10.6327 Å, with angles of 90.00, 90.00 and 120.00 degrees. The distinct sites, in fractional coordinates, are Zn at (0.0000, 0.0000, 0.2470), Zn at (0.3333, 0.6667, 0.4148), Zn at (0.3333, 0.6667, 0.9187), Cu at (0.3333, 0.6667, 0.1680), Pt at (0.0000, 0.0000, 0.0000), Pt at (0.0000, 0.0000, 0.5000) and Pt at (0.3333, 0.6667, 0.6719).